[1]
Entry from Alexandria via LeMat-Bulk: a geometry-optimized CdWSe2Br structure (GGA-PBE).

As for the density of states at the Fermi level: 4.82 states/eV/f.u. The calculated volume comes out at 26.0 Å³ per atom. The calculation puts the magnetic moment at 0.74 μB/f.u. As for the uncorrected formation energy: 0.184 eV/atom. The energy relative to the lowest polymorph listed for this composition comes out at 0.000 eV/atom. The value obtained for the calculated total energy is -4.318 eV per atom.

It has space group P4/mmm (No. 123), with a = 4.925 Å, b = 4.925 Å, c = 5.368 Å, α = 90.00°, β = 90.00° and γ = 90.00°. Symmetry generates all atoms from Cd at (0.000, 0.000, 0.000), W at (0.500, 0.500, 0.500), Se at (0.000, 0.500, 0.500) and Br at (0.500, 0.500, 0.000).

[2]
Entry from Alexandria via LeMat-Bulk: a geometry-optimized La4NdHo2Sc structure (GGA-PBE).

As for the density of states at the Fermi level: 13.40 states/eV/f.u. The calculated volume comes out at 33.8 Å³ per atom. The calculation puts the magnetic moment at 0.00 μB/f.u. As for the formation energy: 0.090 eV/atom. The value obtained for the calculated total energy is -4.906 eV per atom.

It has space group Pmmm (No. 47), with a = 5.927 Å, b = 5.927 Å, c = 7.690 Å, α = 90.00°, β = 90.00° and γ = 90.00°. Symmetry generates all atoms from La at (0.000, 0.000, 0.245), La at (0.500, 0.500, 0.247), Nd at (0.500, 0.000, 0.000), Ho at (0.000, 0.500, 0.500), Ho at (0.500, 0.000, 0.500) and Sc at (0.000, 0.500, 0.000).

Please write out number 1 again, unchanged.
Entry from Alexandria via LeMat-Bulk: a geometry-optimized CdWSe2Br structure (GGA-PBE).

As for the density of states at the Fermi level: 4.82 states/eV/f.u. The calculated volume comes out at 26.0 Å³ per atom. The calculation puts the magnetic moment at 0.74 μB/f.u. As for the uncorrected formation energy: 0.184 eV/atom. The energy relative to the lowest polymorph listed for this composition comes out at 0.000 eV/atom. The value obtained for the calculated total energy is -4.318 eV per atom.

It has space group P4/mmm (No. 123), with a = 4.925 Å, b = 4.925 Å, c = 5.368 Å, α = 90.00°, β = 90.00° and γ = 90.00°. Symmetry generates all atoms from Cd at (0.000, 0.000, 0.000), W at (0.500, 0.500, 0.500), Se at (0.000, 0.500, 0.500) and Br at (0.500, 0.500, 0.000).